Record 1
KAcTe2O8: relaxed, GGA-PBE.

The structure in POSCAR format:
```
KAcTe2O8
1.0
-2.823 2.823 6.155
2.823 -2.823 6.155
2.823 2.823 -6.155
K Ac Te O
1 1 2 8
direct
0.000 0.000 0.000
0.250 0.750 0.500
0.500 0.500 0.000
0.750 0.250 0.500
0.283 0.651 0.104
0.349 0.453 0.632
0.440 0.016 0.110
0.547 0.179 0.896
0.670 0.560 0.576
0.821 0.717 0.368
0.906 0.330 0.890
0.984 0.094 0.424
```

The value obtained for the calculated density is 5.495 Mg/m³. Its total moment is 0.0 μB/f.u. The crystal system is tetragonal. Its final energy is -70.8 eV/cell. The value obtained for the uncorrected formation energy is -157.8 kJ/mol of atoms.


Record 2
K3Ac3TeO8: relaxed, GGA-PBE.

The structure in POSCAR format:
```
K3Ac3TeO8
1.0
3.755 2.168 6.362
-3.755 2.168 6.362
0.000 -4.336 6.362
K Ac Te O
3 3 1 8
direct
0.000 0.500 0.500
0.500 0.000 0.500
0.500 0.500 0.000
0.000 0.000 0.500
0.000 0.500 0.000
0.500 0.000 0.000
0.500 0.500 0.500
0.232 0.232 0.232
0.261 0.710 0.710
0.290 0.290 0.739
0.290 0.739 0.290
0.710 0.261 0.710
0.710 0.710 0.261
0.739 0.290 0.290
0.768 0.768 0.768
```

The value obtained for the calculated density is 5.632 Mg/m³. Its total moment is 0.0 μB/f.u. The crystal system is trigonal. Its final energy is -92.4 eV/cell. The value obtained for the uncorrected formation energy is -218.4 kJ/mol of atoms.


Record 3
KAcTeO5: relaxed, GGA-PBE.

The structure in POSCAR format:
```
KAcTeO5
1.0
4.069 -5.352 0.000
4.069 5.352 0.000
-3.390 0.000 7.914
K Ac Te O
2 2 2 10
direct
0.180 0.820 0.750
0.820 0.180 0.250
0.500 0.500 0.000
0.500 0.500 0.500
0.174 0.826 0.250
0.826 0.174 0.750
0.097 0.236 0.904
0.177 0.627 0.367
0.236 0.097 0.404
0.373 0.823 0.133
0.422 0.578 0.750
0.578 0.422 0.250
0.627 0.177 0.867
0.764 0.903 0.596
0.823 0.373 0.633
0.903 0.764 0.096
```

The value obtained for the calculated density is 4.563 Mg/m³. Its total moment is 0.1 μB/f.u. The crystal system is monoclinic. Its final energy is -95.7 eV/cell. The value obtained for the uncorrected formation energy is -177.2 kJ/mol of atoms.